# 1
CsCd2FeOs: relaxed, PBE.

Summary:
* crystal system: tetragonal
* energy of formation: 2.657 eV/atom
* density: 3.93 g cm⁻³
* size of the total moment: 6.977 μB/cell
* electronic total energy: -9.092 eV per cell

a b c (Å): 6.596 6.596 5.860
angles (deg): 90.00 90.00 90.00
Positions (direct):
Cs 0.000 0.000 0.000
Cd 0.000 0.500 0.000
Cd 0.500 0.000 0.000
Fe 0.000 0.000 0.500
Os 0.500 0.500 0.500



# 2
CsCd2FeSb: relaxed, PBE.

Summary:
* crystal system: tetragonal
* E_form (uncorrected): 472 meV/atom
* density: 4.91 g cm⁻³
* size of the total moment: 2.448 μB/cell
* electronic total energy: -12.910 eV per cell

a b c (Å): 6.046 6.046 4.950
angles (deg): 90.00 90.00 90.00
Positions (direct):
Cs 0.000 0.000 0.000
Cd 0.000 0.500 0.500
Cd 0.500 0.000 0.500
Fe 0.500 0.500 0.000
Sb 0.500 0.500 0.500